Here is NiWO2 after structural relaxation from Alexandria. Energies are from PBE+U.

Cell: 3.837 3.837 3.837 Å, 60.00 60.00 60.00°
Each line ends with the local moment (μB).
Fractional coordinates of all 4 atoms:
O 0.250 0.250 0.250  0.05
O 0.750 0.750 0.750  0.05
W 0.500 0.500 0.500  0.81
Ni 0.000 0.000 0.000  1.25

Results
Its volume is 10.0 Å³ per atom. The value obtained for the total energy is -20.7 eV/cell. For the excess energy over the best structure of this formula in the dataset, the calculation gives 0.615 eV/atom.